(1)
VASP calculation (PBE) on a geometry-optimized AlCo2Tc structure.

Results
**SG**: Pm (6)
**DFT total energy**: -29.031 eV/cell
**Energy of formation**: -0.178 eV/atom
**Magnetization**: 0.000 μB per atom

Geometry as CIF:
```
data_AlCo2Tc
_cell_length_a 2.6361
_cell_length_b 4.0200
_cell_length_c 4.8156
_cell_angle_alpha 90.00
_cell_angle_beta 105.72
_cell_angle_gamma 90.00
_symmetry_space_group_name_H-M 'P 1'
_symmetry_Int_Tables_number 1
loop_
_symmetry_equiv_pos_as_xyz
'x,y,z'
loop_
_atom_site_label
_atom_site_type_symbol
_atom_site_fract_x
_atom_site_fract_y
_atom_site_fract_z
Al1 Al 0.0000 0.0000 0.0000
Co1 Co 0.5839 0.5000 0.1677
Co2 Co 0.7325 0.0000 0.4674
Tc1 Tc 0.3276 0.5000 0.6579
```

(2)
VASP calculation (PBE) on a geometry-optimized AlCoTc2 structure.

Results
**SG**: P4/mmm (123)
**DFT total energy**: -31.812 eV/cell
**Energy of formation**: -0.058 eV/atom
**Magnetization**: 0.111 μB per atom

Geometry as CIF:
```
data_AlCoTc2
_cell_length_a 2.6657
_cell_length_b 2.6657
_cell_length_c 7.5674
_cell_angle_alpha 90.00
_cell_angle_beta 90.00
_cell_angle_gamma 90.00
_symmetry_space_group_name_H-M 'P 1'
_symmetry_Int_Tables_number 1
loop_
_symmetry_equiv_pos_as_xyz
'x,y,z'
loop_
_atom_site_label
_atom_site_type_symbol
_atom_site_fract_x
_atom_site_fract_y
_atom_site_fract_z
Al1 Al 0.0000 0.0000 0.0000
Co1 Co 0.0000 0.0000 0.5000
Tc1 Tc 0.5000 0.5000 0.2633
Tc2 Tc 0.5000 0.5000 0.7367
```

(3)
VASP calculation (PBE) on a geometry-optimized AlCoTc2 structure.

Results
**SG**: R-3m (166)
**DFT total energy**: -31.517 eV/cell
**Energy of formation**: 0.016 eV/atom
**Magnetization**: 0.264 μB per atom

Geometry as CIF:
```
data_AlCoTc2
_cell_length_a 8.6306
_cell_length_b 8.6306
_cell_length_c 8.6306
_cell_angle_alpha 18.19
_cell_angle_beta 18.19
_cell_angle_gamma 18.19
_symmetry_space_group_name_H-M 'P 1'
_symmetry_Int_Tables_number 1
loop_
_symmetry_equiv_pos_as_xyz
'x,y,z'
loop_
_atom_site_label
_atom_site_type_symbol
_atom_site_fract_x
_atom_site_fract_y
_atom_site_fract_z
Al1 Al 0.0000 0.0000 0.0000
Co1 Co 0.5000 0.5000 0.5000
Tc1 Tc 0.2467 0.2467 0.2467
Tc2 Tc 0.7533 0.7533 0.7533
```

(4)
VASP calculation (PBE) on a geometry-optimized Al8Co2Tc structure.

Results
**SG**: Immm (71)
**DFT total energy**: -58.870 eV/cell
**Energy of formation**: -0.396 eV/atom
**Magnetization**: 0.000 μB per atom

Geometry as CIF:
```
data_Al8Co2Tc
_cell_length_a 6.7879
_cell_length_b 6.7879
_cell_length_c 6.7879
_cell_angle_alpha 145.53
_cell_angle_beta 115.74
_cell_angle_gamma 75.01
_symmetry_space_group_name_H-M 'P 1'
_symmetry_Int_Tables_number 1
loop_
_symmetry_equiv_pos_as_xyz
'x,y,z'
loop_
_atom_site_label
_atom_site_type_symbol
_atom_site_fract_x
_atom_site_fract_y
_atom_site_fract_z
Al1 Al 0.1213 0.3381 0.7832
Al2 Al 0.1441 0.1441 0.0000
Al3 Al 0.3172 0.0000 0.3172
Al4 Al 0.4450 0.6619 0.7832
Al5 Al 0.5550 0.3381 0.2168
Al6 Al 0.6828 0.0000 0.6828
Al7 Al 0.8559 0.8559 0.0000
Al8 Al 0.8787 0.6619 0.2168
Co1 Co 0.2966 0.7966 0.5000
Co2 Co 0.7034 0.2034 0.5000
Tc1 Tc 0.0000 0.5000 0.5000
```

(5)
VASP calculation (PBE) on a geometry-optimized Al4Co3Tc structure.

Results
**SG**: Pmmm (47)
**DFT total energy**: -50.666 eV/cell
**Energy of formation**: -0.501 eV/atom
**Magnetization**: 0.000 μB per atom

Geometry as CIF:
```
data_Al4Co3Tc
_cell_length_a 2.8974
_cell_length_b 4.1387
_cell_length_c 8.2572
_cell_angle_alpha 90.00
_cell_angle_beta 90.00
_cell_angle_gamma 90.00
_symmetry_space_group_name_H-M 'P 1'
_symmetry_Int_Tables_number 1
loop_
_symmetry_equiv_pos_as_xyz
'x,y,z'
loop_
_atom_site_label
_atom_site_type_symbol
_atom_site_fract_x
_atom_site_fract_y
_atom_site_fract_z
Al1 Al 0.0000 0.0000 0.0000
Al2 Al 0.0000 0.0000 0.5000
Al3 Al 0.0000 0.5000 0.2405
Al4 Al 0.0000 0.5000 0.7595
Co1 Co 0.5000 0.0000 0.2416
Co2 Co 0.5000 0.0000 0.7584
Co3 Co 0.5000 0.5000 0.0000
Tc1 Tc 0.5000 0.5000 0.5000
```

(6)
VASP calculation (PBE) on a geometry-optimized AlCoTc2 structure.

Results
**SG**: Pmm2 (25)
**DFT total energy**: -31.959 eV/cell
**Energy of formation**: -0.095 eV/atom
**Magnetization**: 0.001 μB per atom

Geometry as CIF:
```
data_AlCoTc2
_cell_length_a 2.7327
_cell_length_b 3.7765
_cell_length_c 5.2574
_cell_angle_alpha 90.00
_cell_angle_beta 90.00
_cell_angle_gamma 90.00
_symmetry_space_group_name_H-M 'P 1'
_symmetry_Int_Tables_number 1
loop_
_symmetry_equiv_pos_as_xyz
'x,y,z'
loop_
_atom_site_label
_atom_site_type_symbol
_atom_site_fract_x
_atom_site_fract_y
_atom_site_fract_z
Al1 Al 0.0000 0.0000 0.0000
Co1 Co 0.5000 0.5000 0.2071
Tc1 Tc 0.0000 0.0000 0.4902
Tc2 Tc 0.5000 0.5000 0.7229
```

What did the fifth record say?
VASP calculation (PBE) on a geometry-optimized Al4Co3Tc structure.

Results
**SG**: Pmmm (47)
**DFT total energy**: -50.666 eV/cell
**Energy of formation**: -0.501 eV/atom
**Magnetization**: 0.000 μB per atom

Geometry as CIF:
```
data_Al4Co3Tc
_cell_length_a 2.8974
_cell_length_b 4.1387
_cell_length_c 8.2572
_cell_angle_alpha 90.00
_cell_angle_beta 90.00
_cell_angle_gamma 90.00
_symmetry_space_group_name_H-M 'P 1'
_symmetry_Int_Tables_number 1
loop_
_symmetry_equiv_pos_as_xyz
'x,y,z'
loop_
_atom_site_label
_atom_site_type_symbol
_atom_site_fract_x
_atom_site_fract_y
_atom_site_fract_z
Al1 Al 0.0000 0.0000 0.0000
Al2 Al 0.0000 0.0000 0.5000
Al3 Al 0.0000 0.5000 0.2405
Al4 Al 0.0000 0.5000 0.7595
Co1 Co 0.5000 0.0000 0.2416
Co2 Co 0.5000 0.0000 0.7584
Co3 Co 0.5000 0.5000 0.0000
Tc1 Tc 0.5000 0.5000 0.5000
```

Question: What is the formula in the sixth record?
Answer: AlCoTc2

Question: DFT total energy of number 3 (AlCoTc2)?
Answer: -31.517 eV/cell

Question: The highest magnetization belongs to which entry?
Answer: number 3